Record 1
A plane-wave DFT calculation with GGA-PBE was carried out for a relaxed Ce2TmBi crystal.

Cell lengths 4.457, 4.365, 11.717 Å; angles 90.00, 100.71, 90.00 degrees
Positions (direct):
Ce  0.405  0.750  0.889
Ce  0.000  0.750  0.118
Ce  0.595  0.250  0.111
Ce  0.000  0.250  0.882
Tm  0.305  0.250  0.614
Tm  0.695  0.750  0.386
Bi  0.177  0.250  0.341
Bi  0.823  0.750  0.659

Summary:
**E_form**: -0.387 eV per atom
**Distance to the lowest polymorph of the same formula**: 0 meV/atom

Record 2
A plane-wave DFT calculation with GGA-PBE was carried out for a relaxed CeTmBi crystal.

Cell lengths 5.094, 5.094, 8.870 Å; angles 73.31, 73.31, 60.00 degrees
Positions (direct):
Bi  0.586  0.586  0.242
Bi  0.414  0.414  0.758
Tm  0.287  0.287  0.139
Tm  0.713  0.713  0.861
Ce  0.856  0.856  0.431
Ce  0.144  0.144  0.569

Summary:
**E_form**: -0.228 eV per atom

Record 3
A plane-wave DFT calculation with GGA-PBE was carried out for a relaxed CeTmBi crystal.

Cell lengths 4.337, 4.405, 8.971 Å; angles 88.74, 90.00, 90.00 degrees
Positions (direct):
Ce  0.750  0.707  0.494
Ce  0.250  0.293  0.506
Tm  0.750  0.257  0.859
Tm  0.250  0.743  0.141
Bi  0.250  0.761  0.789
Bi  0.750  0.239  0.211

Summary:
**E_form**: -0.544 eV per atom

Record 4
A plane-wave DFT calculation with GGA-PBE was carried out for a relaxed Ce2TmBi crystal.

Cell lengths 3.432, 3.432, 12.465 Å; angles 82.09, 82.09, 60.00 degrees
Positions (direct):
Ce  0.088  0.088  0.735
Ce  0.912  0.912  0.265
Bi  0.000  0.000  0.000
Tm  0.500  0.500  0.500

Summary:
**E_form**: 0.097 eV per atom
**Distance to the lowest polymorph of the same formula**: 484 meV/atom

Record 5
A plane-wave DFT calculation with GGA-PBE was carried out for a relaxed CeTm2Bi crystal.

Cell lengths 3.542, 3.542, 11.050 Å; angles 80.78, 80.78, 60.00 degrees
Positions (direct):
Bi  0.000  0.000  0.000
Tm  0.252  0.252  0.243
Tm  0.748  0.748  0.757
Ce  0.500  0.500  0.500

Summary:
**E_form**: -0.157 eV per atom
**Distance to the lowest polymorph of the same formula**: 151 meV/atom

Record 6
A plane-wave DFT calculation with GGA-PBE was carried out for a relaxed CeTm3Bi2 crystal.

Cell lengths 4.658, 8.086, 11.336 Å; angles 113.44, 90.00, 106.74 degrees
Positions (direct):
Bi  0.203  0.405  0.829
Bi  0.503  0.006  0.155
Bi  0.797  0.595  0.171
Bi  0.497  0.994  0.845
Tm  0.043  0.085  0.360
Tm  0.284  0.567  0.614
Tm  0.380  0.760  0.379
Tm  0.716  0.433  0.386
Tm  0.957  0.915  0.640
Tm  0.620  0.240  0.621
Ce  0.132  0.265  0.063
Ce  0.868  0.735  0.937

Summary:
**E_form**: -0.455 eV per atom

Record 7
A plane-wave DFT calculation with GGA-PBE was carried out for a relaxed CeTm5Bi5 crystal.

Cell lengths 6.266, 7.596, 8.788 Å; angles 106.41, 90.00, 114.36 degrees
Positions (direct):
Tm  0.658  0.316  0.338
Tm  0.000  0.000  0.500
Tm  0.342  0.684  0.662
Tm  0.335  0.670  0.171
Tm  0.665  0.330  0.829
Bi  0.827  0.654  0.173
Bi  0.830  0.661  0.659
Bi  0.170  0.339  0.341
Bi  0.500  0.000  0.000
Bi  0.173  0.346  0.827
Ce  0.000  0.000  0.000

Summary:
**E_form**: -0.573 eV per atom

Record 8
A plane-wave DFT calculation with GGA-PBE was carried out for a relaxed CeTm8Bi6 crystal.

Cell lengths 7.544, 7.544, 10.849 Å; angles 69.65, 69.65, 60.00 degrees
Positions (direct):
Bi  0.062  0.723  0.810
Bi  0.723  0.405  0.810
Bi  0.405  0.062  0.810
Bi  0.277  0.595  0.190
Bi  0.595  0.938  0.190
Bi  0.938  0.277  0.190
Tm  0.205  0.874  0.368
Tm  0.553  0.205  0.368
Tm  0.334  0.334  0.999
Tm  0.666  0.666  0.001
Tm  0.874  0.553  0.368
Tm  0.126  0.447  0.632
Tm  0.795  0.126  0.632
Tm  0.447  0.795  0.632
Ce  0.000  0.000  0.000

Summary:
**E_form**: -0.438 eV per atom

no.,electronic total energy (eV/atom)
1,-5.44
2,-4.99
3,-5.31
4,-4.96
5,-4.85
6,-4.97
7,-4.91
8,-4.77